A geometry-optimized Ti2TlFe structure, computed with PBE.

Energy = -6.72 eV per atom
Excess energy over the best structure of this formula in the dataset = 0 meV/atom
Calculated formation energy = -0.064 eV/atom

```
data_Ti2TlFe
_chemical_formula_sum 'Ti2 Tl1 Fe1'
_cell_length_a 2.941
_cell_length_b 2.941
_cell_length_c 7.692
_cell_angle_alpha 90.00
_cell_angle_beta 90.00
_cell_angle_gamma 90.00
_symmetry_space_group_name_H-M 'P 4/m m m'
_symmetry_Int_Tables_number 123
_symmetry_space_group_name_Hall '-P 4 2'
loop_
_atom_site_label
_atom_site_type_symbol
_atom_site_fract_x
_atom_site_fract_y
_atom_site_fract_z
Ti1 Ti 0.000 0.000 0.195
Tl1 Tl 0.500 0.500 0.500
Fe1 Fe 0.500 0.500 0.000
```